{
  "formula": "CrGaPt2",
  "functional": "PBE-GGA",
  "state": "relaxed",
  "cell": [[4.591, 0.000, 0.000], [0.000, 4.591, 0.000], [0.000, 0.000, 2.872]],
  "species": ["Cr", "Ga", "Pt", "Pt"],
  "fractional_positions": [[0.000, 0.000, 0.000], [0.500, 0.500, 0.000], [0.000, 0.500, 0.500], [0.500, 0.000, 0.500]],
  "magnetic_moment_mub_per_fu": 3.628,
  "e_form_ev_per_atom": -0.36,
  "sg": "P4/mmm"
}



{
  "formula": "KY2Mn",
  "functional": "PBE-GGA",
  "state": "relaxed",
  "cell": [[3.535, 0.000, 0.000], [0.000, 3.536, 0.000], [-0.022, 0.000, 10.563]],
  "species": ["K", "Y", "Y", "Mn"],
  "fractional_positions": [[0.000, 0.000, 0.000], [0.499, 0.500, 0.341], [0.501, 0.500, 0.659], [0.000, 0.000, 0.500]],
  "e_above_lowest_polymorph_mev_per_atom": 0,
  "magnetic_moment_mub_per_fu": 2.317,
  "e_form_ev_per_atom": 0.26,
  "sg": "P2/m"
}



{
  "formula": "Li3Ag2Sn2Au4",
  "functional": "PBE-GGA",
  "state": "relaxed",
  "cell": [[4.569, 0.000, 0.000], [-2.284, 3.957, 0.000], [0.000, 0.000, 11.859]],
  "species": ["Li", "Li", "Li", "Ag", "Ag", "Sn", "Sn", "Au", "Au", "Au", "Au"],
  "fractional_positions": [[0.000, 0.000, 0.000], [0.000, 0.000, 0.306], [0.000, 0.000, 0.694], [0.333, 0.667, 0.568], [0.667, 0.333, 0.432], [0.333, 0.667, 0.102], [0.667, 0.333, 0.898], [0.333, 0.667, 0.336], [0.333, 0.667, 0.813], [0.667, 0.333, 0.187], [0.667, 0.333, 0.664]],
  "magnetic_moment_mub_per_fu": 0.000,
  "e_form_ev_per_atom": -0.25,
  "sg": "P-3m1"
}



{
  "formula": "NaSrN3",
  "functional": "PBE-GGA",
  "state": "relaxed",
  "cell": [[4.335, 0.000, 0.000], [0.000, 4.335, 0.000], [0.000, 0.000, 4.335]],
  "species": ["Na", "Sr", "N", "N", "N"],
  "fractional_positions": [[0.000, 0.000, 0.000], [0.500, 0.500, 0.500], [0.000, 0.000, 0.500], [0.000, 0.500, 0.000], [0.500, 0.000, 0.000]],
  "formation_energy_uncorrected_ev_per_fu": 7.84,
  "magnetic_moment_mub_per_fu": 6.000,
  "sg": "Pm-3m"
}



{
  "formula": "LiZrGaI",
  "functional": "PBE-GGA",
  "state": "relaxed",
  "cell": [[5.683, -1.888, 0.000], [5.683, 1.888, 0.000], [-0.264, 0.000, 4.121]],
  "species": ["Li", "Zr", "Ga", "I"],
  "fractional_positions": [[0.000, 0.000, 0.000], [0.766, 0.766, 0.448], [0.241, 0.241, 0.944], [0.486, 0.486, 0.492]],
  "formation_energy_uncorrected_ev_per_fu": -1.19,
  "e_above_lowest_polymorph_mev_per_atom": 58,
  "magnetic_moment_mub_per_fu": 0.000,
  "sg": "Cm"
}



{
  "formula": "LiAs2Pt",
  "functional": "PBE-GGA",
  "state": "relaxed",
  "cell": [[-1.964, 1.964, 4.169], [1.964, -1.964, 4.169], [1.964, 1.964, -4.169]],
  "species": ["Li", "As", "As", "Pt"],
  "fractional_positions": [[0.000, 0.000, 0.000], [0.500, 0.500, 0.000], [0.750, 0.250, 0.500], [0.250, 0.750, 0.500]],
  "magnetic_moment_mub_per_fu": 0.000,
  "e_form_ev_per_atom": -0.26,
  "sg": "I-4m2"
}



{
  "formula": "TlRe3W",
  "functional": "PBE-GGA",
  "state": "relaxed",
  "cell": [[4.802, 0.000, 0.000], [0.000, 4.802, 0.000], [0.000, 0.000, 4.802]],
  "species": ["Tl", "Re", "Re", "Re", "W"],
  "fractional_positions": [[0.000, 0.000, 0.000], [0.000, 0.500, 0.500], [0.500, 0.000, 0.500], [0.500, 0.500, 0.000], [0.500, 0.500, 0.500]],
  "e_above_lowest_polymorph_mev_per_atom": 0,
  "magnetic_moment_mub_per_fu": 2.425,
  "e_form_ev_per_atom": 2.23,
  "sg": "Pm-3m"
}



{
  "formula": "Sc2TaAl2Co5",
  "functional": "PBE-GGA",
  "state": "relaxed",
  "cell": [[9.248, 0.000, 0.000], [0.000, 9.248, 0.000], [0.000, 0.000, 3.294]],
  "species": ["Sc", "Sc", "Sc", "Sc", "Ta", "Ta", "Al", "Al", "Al", "Al", "Co", "Co", "Co", "Co", "Co", "Co", "Co", "Co", "Co", "Co"],
  "fractional_positions": [[0.173, 0.327, 0.000], [0.327, 0.827, 0.000], [0.673, 0.173, 0.000], [0.827, 0.673, 0.000], [0.000, 0.000, 0.000], [0.500, 0.500, 0.000], [0.124, 0.624, 0.000], [0.376, 0.124, 0.000], [0.624, 0.876, 0.000], [0.876, 0.376, 0.000], [0.000, 0.500, 0.500], [0.065, 0.798, 0.500], [0.202, 0.065, 0.500], [0.298, 0.565, 0.500], [0.435, 0.298, 0.500], [0.500, 0.000, 0.500], [0.565, 0.702, 0.500], [0.702, 0.435, 0.500], [0.798, 0.935, 0.500], [0.935, 0.202, 0.500]],
  "magnetic_moment_mub_per_fu": 0.000,
  "e_form_ev_per_atom": -0.34,
  "sg": "P4/mbm"
}



{
  "formula": "CsRhOF2",
  "functional": "PBE-GGA",
  "state": "relaxed",
  "cell": [[5.203, 0.000, 0.000], [0.000, 5.203, 0.000], [0.000, 0.000, 4.318]],
  "species": ["Cs", "Rh", "O", "F", "F"],
  "fractional_positions": [[0.000, 0.000, 0.000], [0.500, 0.500, 0.500], [0.000, 0.000, 0.500], [0.000, 0.500, 0.000], [0.500, 0.000, 0.000]],
  "formation_energy_uncorrected_ev_per_fu": 1.01,
  "e_above_lowest_polymorph_mev_per_atom": 1730,
  "magnetic_moment_mub_per_fu": 2.230,
  "sg": "P4/mmm"
}



{
  "formula": "Y2Al2Te7",
  "functional": "PBE-GGA",
  "state": "relaxed",
  "cell": [[4.536, -6.502, 0.000], [4.536, 6.502, 0.000], [-2.525, 0.000, 6.973]],
  "species": ["Y", "Y", "Al", "Al", "Te", "Te", "Te", "Te", "Te", "Te", "Te"],
  "fractional_positions": [[0.196, 0.804, 0.000], [0.804, 0.196, 0.000], [0.250, 0.250, 0.622], [0.750, 0.750, 0.378], [0.040, 0.396, 0.759], [0.156, 0.156, 0.240], [0.396, 0.040, 0.759], [0.500, 0.500, 0.500], [0.604, 0.960, 0.241], [0.844, 0.844, 0.760], [0.960, 0.604, 0.241]],
  "formation_energy_uncorrected_ev_per_fu": -7.66,
  "magnetic_moment_mub_per_fu": 0.000,
  "sg": "C2/m"
}



{
  "formula": "Zr2CdSb",
  "functional": "PBE-GGA",
  "state": "relaxed",
  "cell": [[3.297, 0.000, 0.000], [0.000, 4.255, 0.000], [-0.700, 0.000, 6.350]],
  "species": ["Zr", "Zr", "Cd", "Sb"],
  "fractional_positions": [[0.043, 0.000, 0.252], [0.957, 0.000, 0.748], [0.500, 0.500, 0.000], [0.500, 0.500, 0.500]],
  "formation_energy_uncorrected_ev_per_fu": -1.22,
  "e_above_lowest_polymorph_mev_per_atom": 25,
  "magnetic_moment_mub_per_fu": 0.000,
  "sg": "P2/m"
}



{
  "formula": "Y2MgSi2Ru5",
  "functional": "PBE-GGA",
  "state": "relaxed",
  "cell": [[10.003, 0.000, 0.000], [0.000, 10.003, 0.000], [0.000, 0.000, 3.306]],
  "species": ["Y", "Y", "Y", "Y", "Mg", "Mg", "Si", "Si", "Si", "Si", "Ru", "Ru", "Ru", "Ru", "Ru", "Ru", "Ru", "Ru", "Ru", "Ru"],
  "fractional_positions": [[0.173, 0.327, 0.000], [0.327, 0.827, 0.000], [0.673, 0.173, 0.000], [0.827, 0.673, 0.000], [0.000, 0.000, 0.000], [0.500, 0.500, 0.000], [0.128, 0.628, 0.000], [0.372, 0.128, 0.000], [0.628, 0.872, 0.000], [0.872, 0.372, 0.000], [0.000, 0.500, 0.500], [0.069, 0.788, 0.500], [0.212, 0.069, 0.500], [0.288, 0.569, 0.500], [0.431, 0.288, 0.500], [0.500, 0.000, 0.500], [0.569, 0.712, 0.500], [0.712, 0.431, 0.500], [0.788, 0.931, 0.500], [0.931, 0.212, 0.500]],
  "formation_energy_uncorrected_ev_per_fu": -5.11,
  "magnetic_moment_mub_per_fu": 0.000,
  "sg": "P4/mbm"
}



{
  "formula": "CrN2",
  "functional": "PBE-GGA",
  "state": "relaxed",
  "cell": [[4.154, 0.000, 0.000], [-2.077, 3.597, 0.000], [0.000, 0.000, 4.687]],
  "species": ["Cr", "Cr", "Cr", "N", "N", "N", "N", "N", "N"],
  "fractional_positions": [[0.000, 0.375, 0.333], [0.375, 0.000, 0.667], [0.625, 0.625, 0.000], [0.154, 0.343, 0.754], [0.190, 0.846, 0.087], [0.343, 0.154, 0.246], [0.657, 0.810, 0.420], [0.810, 0.657, 0.580], [0.846, 0.190, 0.913]],
  "formation_energy_uncorrected_ev_per_fu": 0.65,
  "magnetic_moment_mub_per_fu": 1.166,
  "sg": "P3_221"
}



{
  "formula": "Al2ReMo",
  "functional": "PBE-GGA",
  "state": "relaxed",
  "cell": [[4.778, -1.588, 0.000], [4.778, 1.588, 0.000], [-2.026, 0.000, 3.948]],
  "species": ["Al", "Al", "Re", "Mo"],
  "fractional_positions": [[0.248, 0.248, 0.248], [0.752, 0.752, 0.752], [0.500, 0.500, 0.000], [0.000, 0.000, 0.500]],
  "e_above_lowest_polymorph_mev_per_atom": 209,
  "magnetic_moment_mub_per_fu": 0.000,
  "e_form_ev_per_atom": -0.10,
  "sg": "C2/m"
}



{
  "formula": "LiPb3C",
  "functional": "PBE-GGA",
  "state": "relaxed",
  "cell": [[5.101, 0.000, 0.000], [0.000, 5.101, 0.000], [0.000, 0.000, 5.101]],
  "species": ["Li", "Pb", "Pb", "Pb", "C"],
  "fractional_positions": [[0.000, 0.000, 0.000], [0.000, 0.500, 0.500], [0.500, 0.000, 0.500], [0.500, 0.500, 0.000], [0.500, 0.500, 0.500]],
  "e_above_lowest_polymorph_mev_per_atom": 0,
  "magnetic_moment_mub_per_fu": 0.000,
  "e_form_ev_per_atom": 0.84,
  "sg": "Pm-3m"
}



{
  "formula": "Pa2TaGaN5",
  "functional": "PBE-GGA",
  "state": "relaxed",
  "cell": [[1.628, -6.881, 0.000], [1.628, 6.881, 0.000], [0.000, 0.000, 9.959]],
  "species": ["Pa", "Pa", "Pa", "Pa", "Ta", "Ta", "Ga", "Ga", "N", "N", "N", "N", "N", "N", "N", "N", "N", "N"],
  "fractional_positions": [[0.122, 0.878, 0.500], [0.133, 0.867, 0.087], [0.867, 0.133, 0.587], [0.878, 0.122, 0.000], [0.214, 0.786, 0.800], [0.786, 0.214, 0.300], [0.488, 0.512, 0.275], [0.512, 0.488, 0.775], [0.058, 0.942, 0.850], [0.289, 0.711, 0.448], [0.304, 0.696, 0.158], [0.364, 0.636, 0.806], [0.498, 0.502, 0.577], [0.502, 0.498, 0.077], [0.636, 0.364, 0.306], [0.696, 0.304, 0.658], [0.711, 0.289, 0.948], [0.942, 0.058, 0.350]],
  "formation_energy_uncorrected_ev_per_fu": -10.31,
  "magnetic_moment_mub_per_fu": 0.000,
  "sg": "Cmc2_1"
}



{
  "formula": "CaZnSi2",
  "functional": "PBE-GGA",
  "state": "relaxed",
  "cell": [[4.149, -1.870, 0.000], [4.149, 1.870, 0.000], [-1.703, 0.000, 5.232]],
  "species": ["Ca", "Zn", "Si", "Si"],
  "fractional_positions": [[0.000, 0.000, 0.000], [0.500, 0.500, 0.500], [0.239, 0.239, 0.643], [0.761, 0.761, 0.357]],
  "formation_energy_uncorrected_ev_per_fu": -0.69,
  "magnetic_moment_mub_per_fu": 0.000,
  "sg": "C2/m"
}



{
  "formula": "HgCl2F6",
  "functional": "PBE-GGA",
  "state": "relaxed",
  "cell": [[6.902, 0.000, 0.000], [-3.451, 5.978, 0.000], [0.000, 0.000, 4.895]],
  "species": ["Hg", "Cl", "Cl", "F", "F", "F", "F", "F", "F"],
  "fractional_positions": [[0.000, 0.000, 0.000], [0.333, 0.667, 0.241], [0.667, 0.333, 0.759], [0.170, 0.341, 0.232], [0.170, 0.830, 0.232], [0.341, 0.170, 0.768], [0.659, 0.830, 0.232], [0.830, 0.170, 0.768], [0.830, 0.659, 0.768]],
  "formation_energy_uncorrected_ev_per_fu": -4.40,
  "magnetic_moment_mub_per_fu": 0.000,
  "sg": "P-3m1"
}



{
  "formula": "MgTa3I",
  "functional": "PBE-GGA",
  "state": "relaxed",
  "cell": [[5.016, 0.000, 0.000], [0.000, 5.016, 0.000], [0.000, 0.000, 5.016]],
  "species": ["Mg", "Ta", "Ta", "Ta", "I"],
  "fractional_positions": [[0.000, 0.000, 0.000], [0.000, 0.500, 0.500], [0.500, 0.000, 0.500], [0.500, 0.500, 0.000], [0.500, 0.500, 0.500]],
  "formation_energy_uncorrected_ev_per_fu": 9.72,
  "e_above_lowest_polymorph_mev_per_atom": 0,
  "magnetic_moment_mub_per_fu": 0.795,
  "sg": "Pm-3m"
}



{
  "formula": "TaTlW",
  "functional": "PBE-GGA",
  "state": "relaxed",
  "cell": [[7.281, -2.043, 0.000], [7.281, 2.043, 0.000], [-1.325, 0.000, 4.195]],
  "species": ["Ta", "Ta", "Tl", "Tl", "W", "W"],
  "fractional_positions": [[0.000, 0.000, 0.000], [0.129, 0.129, 0.629], [0.462, 0.462, 0.463], [0.792, 0.792, 0.791], [0.248, 0.248, 0.247], [0.629, 0.629, 0.128]],
  "e_above_lowest_polymorph_mev_per_atom": 248,
  "magnetic_moment_mub_per_fu": 0.000,
  "e_form_ev_per_atom": 0.61,
  "sg": "Cm"
}



{
  "formula": "Y3NbHg",
  "functional": "PBE-GGA",
  "state": "relaxed",
  "cell": [[5.419, 0.000, 0.000], [0.000, 5.419, 0.000], [0.000, 0.000, 5.419]],
  "species": ["Y", "Y", "Y", "Nb", "Hg"],
  "fractional_positions": [[0.000, 0.000, 0.500], [0.000, 0.500, 0.000], [0.500, 0.000, 0.000], [0.000, 0.000, 0.000], [0.500, 0.500, 0.500]],
  "e_above_lowest_polymorph_mev_per_atom": 0,
  "magnetic_moment_mub_per_fu": 0.000,
  "e_form_ev_per_atom": 0.49,
  "sg": "Pm-3m"
}



{
  "formula": "HgGeN2F",
  "functional": "PBE-GGA",
  "state": "relaxed",
  "cell": [[3.887, 0.000, 0.000], [0.000, 3.887, 0.000], [0.000, 0.000, 4.002]],
  "species": ["Hg", "Ge", "N", "N", "F"],
  "fractional_positions": [[0.000, 0.000, 0.000], [0.500, 0.500, 0.500], [0.000, 0.500, 0.500], [0.500, 0.000, 0.500], [0.500, 0.500, 0.000]],
  "formation_energy_uncorrected_ev_per_fu": 2.33,
  "e_above_lowest_polymorph_mev_per_atom": 0,
  "magnetic_moment_mub_per_fu": 0.661,
  "sg": "P4/mmm"
}



{
  "formula": "MgBe2Cd",
  "functional": "PBE-GGA",
  "state": "relaxed",
  "cell": [[4.827, -1.429, 0.000], [4.827, 1.429, 0.000], [-1.624, 0.000, 4.276]],
  "species": ["Mg", "Be", "Be", "Cd"],
  "fractional_positions": [[0.000, 0.000, 0.000], [0.451, 0.451, 0.461], [0.771, 0.771, 0.215], [0.211, 0.211, 0.655]],
  "e_above_lowest_polymorph_mev_per_atom": 75,
  "magnetic_moment_mub_per_fu": 0.000,
  "e_form_ev_per_atom": 0.37,
  "sg": "Cm"
}



{
  "formula": "TcSnH3",
  "functional": "PBE-GGA",
  "state": "relaxed",
  "cell": [[3.915, 0.000, 0.000], [0.000, 3.915, 0.000], [0.000, 0.000, 3.915]],
  "species": ["Tc", "Sn", "H", "H", "H"],
  "fractional_positions": [[0.000, 0.000, 0.000], [0.500, 0.500, 0.500], [0.000, 0.500, 0.500], [0.500, 0.000, 0.500], [0.500, 0.500, 0.000]],
  "e_above_lowest_polymorph_mev_per_atom": 926,
  "magnetic_moment_mub_per_fu": 3.658,
  "sg": "Pm-3m"
}



{
  "formula": "LaSc2AsI",
  "functional": "PBE-GGA",
  "state": "relaxed",
  "cell": [[5.064, 0.000, 0.000], [0.000, 5.064, 0.000], [0.000, 0.000, 5.966]],
  "species": ["La", "Sc", "Sc", "As", "I"],
  "fractional_positions": [[0.000, 0.000, 0.000], [0.000, 0.500, 0.500], [0.500, 0.000, 0.500], [0.000, 0.000, 0.500], [0.500, 0.500, 0.000]],
  "formation_energy_uncorrected_ev_per_fu": -2.13,
  "magnetic_moment_mub_per_fu": 1.671,
  "sg": "P4/mmm"
}